--- 1 ---
Below is an optimized crystal structure of LiVBi2, with properties calculated at the PBE level.

Cell lengths 6.642, 6.642, 11.829 Å; angles 90.00, 90.00, 90.00 degrees
Space group I-42d (No. 122)
Symmetry-distinct sites (fractional):
Li  0.000  0.000  0.000
V  0.000  0.000  0.500
Bi  0.212  0.250  0.625


--- 2 ---
Below is an optimized crystal structure of LiVBi2, with properties calculated at the PBE level.

Cell lengths 3.411, 3.411, 7.979 Å; angles 90.00, 90.00, 90.00 degrees
Space group P4/mmm (No. 123)
Symmetry-distinct sites (fractional):
Li  0.000  0.000  0.000
V  0.000  0.000  0.500
Bi  0.500  0.500  0.272


Which of them is the most stable, and which is the least stable? 2 and 1, in that order.


--- 1 ---
Below is an optimized crystal structure of LiBiW3, with properties calculated at the PBE level.

Cell lengths 5.071, 5.071, 5.071 Å; angles 90.00, 90.00, 90.00 degrees
Space group Pm-3m (No. 221)
Symmetry-distinct sites (fractional):
Li  0.000  0.000  0.000
Bi  0.500  0.500  0.500
W  0.000  0.500  0.500


--- 2 ---
Below is an optimized crystal structure of LiBiW3, with properties calculated at the PBE level.

Cell lengths 4.401, 4.401, 4.401 Å; angles 90.00, 90.00, 90.00 degrees
Space group Pm-3m (No. 221)
Symmetry-distinct sites (fractional):
Li  0.000  0.000  0.000
Bi  0.500  0.500  0.500
W  0.000  0.000  0.500


Which of them is the most stable, and which is the least stable? 2 and 1, in that order.


--- 1 ---
Below is an optimized crystal structure of LiBi3W, with properties calculated at the PBE level.

Cell lengths 5.474, 5.474, 5.474 Å; angles 90.00, 90.00, 90.00 degrees
Space group Pm-3m (No. 221)
Symmetry-distinct sites (fractional):
Li  0.000  0.000  0.000
Bi  0.000  0.500  0.500
W  0.500  0.500  0.500


--- 2 ---
Below is an optimized crystal structure of LiBi3W, with properties calculated at the PBE level.

Cell lengths 5.079, 5.079, 5.079 Å; angles 90.00, 90.00, 90.00 degrees
Space group Pm-3m (No. 221)
Symmetry-distinct sites (fractional):
Li  0.000  0.000  0.000
Bi  0.000  0.000  0.500
W  0.500  0.500  0.500


Which of them is the most stable, and which is the least stable? 1 and 2, in that order.


--- 1 ---
Below is an optimized crystal structure of LiYBi3, with properties calculated at the PBE level.

Cell lengths 5.919, 5.919, 5.919 Å; angles 90.00, 90.00, 90.00 degrees
Space group Pm-3m (No. 221)
Symmetry-distinct sites (fractional):
Li  0.000  0.000  0.000
Y  0.500  0.500  0.500
Bi  0.000  0.500  0.500


--- 2 ---
Below is an optimized crystal structure of LiYBi3, with properties calculated at the PBE level.

Cell lengths 5.235, 5.235, 5.235 Å; angles 90.00, 90.00, 90.00 degrees
Space group Pm-3m (No. 221)
Symmetry-distinct sites (fractional):
Li  0.000  0.000  0.000
Y  0.500  0.500  0.500
Bi  0.000  0.000  0.500


Which of them is the most stable, and which is the least stable? 2 and 1, in that order.


--- 1 ---
Below is an optimized crystal structure of Li2Y2Bi, with properties calculated at the PBE level.

Cell lengths 3.875, 3.875, 18.763 Å; angles 90.00, 90.00, 90.00 degrees
Space group I4/mmm (No. 139)
Symmetry-distinct sites (fractional):
Li  0.000  0.500  0.250
Y  0.000  0.000  0.096
Bi  0.000  0.000  0.500


--- 2 ---
Below is an optimized crystal structure of Li2Y2Bi, with properties calculated at the PBE level.

Cell lengths 7.220, 7.220, 4.683 Å; angles 90.00, 90.00, 90.00 degrees
Space group P4/mbm (No. 127)
Symmetry-distinct sites (fractional):
Li  0.131  0.369  0.000
Y  0.171  0.671  0.500
Bi  0.000  0.000  0.000


Which of them is the most stable, and which is the least stable? 2 and 1, in that order.


--- 1 ---
Below is an optimized crystal structure of Li2YBi2, with properties calculated at the PBE level.

Cell lengths 8.647, 8.647, 3.418 Å; angles 90.00, 90.00, 90.00 degrees
Space group P4/mbm (No. 127)
Symmetry-distinct sites (fractional):
Li  0.125  0.375  0.000
Y  0.000  0.000  0.500
Bi  0.171  0.671  0.500


--- 2 ---
Below is an optimized crystal structure of Li2YBi2, with properties calculated at the PBE level.

Cell lengths 8.416, 8.416, 3.384 Å; angles 90.00, 90.00, 90.00 degrees
Space group P4/mbm (No. 127)
Symmetry-distinct sites (fractional):
Li  0.112  0.388  0.000
Y  0.000  0.000  0.000
Bi  0.183  0.683  0.500


Which of them is the most stable, and which is the least stable? 2 and 1, in that order.